Record 1
CdHg: relaxed, PBE.

Computed properties:
symmetry: I4/m, No. 87
formation enthalpy at 0 K: 0.0346 eV/atom

Cell and atoms, written as POSCAR:
```
CdHg
1.0
10.9184 0.0000 0.0000
0.0000 10.9184 0.0000
0.0000 0.0000 3.4387
Cd Hg
8 8
Direct
0.5960 0.1356 0.5000 Cd
0.0960 0.6356 0.0000 Cd
0.8644 0.5960 0.5000 Cd
0.9040 0.3644 0.0000 Cd
0.3644 0.0960 0.0000 Cd
0.1356 0.4040 0.5000 Cd
0.6356 0.9040 0.0000 Cd
0.4040 0.8644 0.5000 Cd
0.1652 0.8957 0.0000 Hg
0.8957 0.8348 0.0000 Hg
0.3348 0.6043 0.5000 Hg
0.3957 0.3348 0.5000 Hg
0.6652 0.3957 0.5000 Hg
0.8348 0.1043 0.0000 Hg
0.1043 0.1652 0.0000 Hg
0.6043 0.6652 0.5000 Hg
```

Record 2
Cs2ZnBi2Pb: relaxed, PBE.

Computed properties:
symmetry: Ibam, No. 72
formation enthalpy at 0 K: -0.2637 eV/atom

Cell and atoms, written as POSCAR:
```
Cs2ZnBi2Pb
1.0
7.5779 0.0000 0.0000
0.0000 7.6402 0.0000
-3.7889 -3.8201 8.7687
Zn Bi Cs Pb
2 4 4 2
Direct
0.5000 0.2500 0.0000 Zn
0.5000 0.7500 0.0000 Zn
0.8066 0.0887 0.1773 Bi
0.1934 0.9113 0.8227 Bi
0.6293 0.4113 0.8227 Bi
0.3707 0.5887 0.1773 Bi
0.9227 0.6673 0.3345 Cs
0.0773 0.3327 0.6655 Cs
0.5881 0.8327 0.6655 Cs
0.4119 0.1673 0.3345 Cs
0.0000 0.2500 0.0000 Pb
0.0000 0.7500 0.0000 Pb
```

Record 3
PrTaCuO5: relaxed, PBE.

Computed properties:
DFT total energy: -8.10 eV per atom
symmetry: C2/c, No. 15

Cell and atoms, written as POSCAR:
```
PrTaCuO5
1.0
5.7338 -0.2340 -0.0140
-1.8976 5.4157 -0.0140
-1.5964 -2.1564 7.0680
Pr O Ta Cu
2 10 2 2
Direct
0.3249 0.6751 0.2500 Pr
0.6751 0.3249 0.7500 Pr
0.2783 0.8751 0.5803 O
0.9346 0.0654 0.7500 O
0.7076 0.6445 0.4255 O
0.2924 0.3555 0.5745 O
0.1249 0.7217 0.9197 O
0.3555 0.2924 0.0745 O
0.7217 0.1249 0.4197 O
0.8751 0.2783 0.0803 O
0.6445 0.7076 0.9255 O
0.0654 0.9346 0.2500 O
0.0000 0.0000 0.5000 Ta
0.0000 0.0000 0.0000 Ta
0.3280 0.6720 0.7500 Cu
0.6720 0.3280 0.2500 Cu
```

Record 4
La2TbHo2Tm: relaxed, PBE.

Computed properties:
symmetry: Pmma, No. 51
formation enthalpy at 0 K: 0.0688 eV/atom

Cell and atoms, written as POSCAR:
```
La2TbHo2Tm
1.0
5.6889 0.0000 0.0000
0.0000 7.0624 0.0000
0.0000 0.0000 9.8405
Ho La Tm Tb
4 4 2 2
Direct
0.5000 0.7576 0.6655 Ho
0.0000 0.7576 0.1663 Ho
0.0000 0.2576 0.8337 Ho
0.5000 0.2576 0.3345 Ho
0.5000 0.5078 0.9997 La
0.0000 0.7578 0.8194 La
0.5000 0.0078 0.0003 La
0.0000 0.2578 0.1806 La
0.0000 0.5074 0.5002 Tm
0.0000 0.0074 0.4998 Tm
0.5000 0.7574 0.3427 Tb
0.5000 0.2574 0.6573 Tb
```

Record 5
Sr2NpAs3: relaxed, PBE.

Computed properties:
symmetry: Immm, No. 71
formation enthalpy at 0 K: -0.8423 eV/atom

Cell and atoms, written as POSCAR:
```
Sr2NpAs3
1.0
4.2413 -0.0003 -0.9663
-0.2184 4.2070 -0.9605
-0.0296 -0.0151 9.6600
As Sr Np
3 2 1
Direct
0.2845 0.2858 0.5744 As
0.9341 0.9360 0.8740 As
0.5841 0.5853 0.1735 As
0.7642 0.7655 0.5338 Sr
0.1044 0.1056 0.2141 Sr
0.4341 0.4358 0.8740 Np
```

Record 6
Ho3Al5Te12: relaxed, PBE.

Computed properties:
DFT total energy: -4.22 eV per atom
symmetry: Ia-3d, No. 230

Cell and atoms, written as POSCAR:
```
Ho3Al5Te12
1.0
14.8071 0.0000 0.0000
-4.9357 13.9602 0.0000
-4.9357 -6.9801 12.0899
Al Te Ho
20 48 12
Direct
0.3750 0.2500 0.1250 Al
0.0000 0.5000 0.0000 Al
0.1250 0.3750 0.2500 Al
0.5000 0.5000 0.5000 Al
0.6250 0.8750 0.2500 Al
0.8750 0.2500 0.6250 Al
0.0000 0.0000 0.5000 Al
0.2500 0.3750 0.6250 Al
0.7500 0.6250 0.3750 Al
0.5000 0.0000 0.0000 Al
0.5000 0.0000 0.5000 Al
0.7500 0.1250 0.8750 Al
0.2500 0.8750 0.1250 Al
0.1250 0.7500 0.3750 Al
0.6250 0.7500 0.8750 Al
0.0000 0.0000 0.0000 Al
0.8750 0.6250 0.7500 Al
0.3750 0.1250 0.7500 Al
0.0000 0.5000 0.5000 Al
0.5000 0.5000 0.0000 Al
0.3748 0.4106 0.0860 Te
0.9140 0.8246 0.7888 Te
0.1754 0.0894 0.9642 Te
0.1252 0.7112 0.5358 Te
0.0358 0.4106 0.8246 Te
0.0894 0.1754 0.4642 Te
0.2112 0.6754 0.0860 Te
0.5860 0.7112 0.6754 Te
0.1252 0.4140 0.0894 Te
0.5860 0.8748 0.4106 Te
0.8246 0.9106 0.0358 Te
0.2888 0.4140 0.8246 Te
0.4106 0.3748 0.5860 Te
0.0860 0.9106 0.3748 Te
0.7112 0.5860 0.1754 Te
0.7888 0.4642 0.3748 Te
0.2112 0.5358 0.6252 Te
0.7112 0.1252 0.0358 Te
0.8748 0.5860 0.9106 Te
0.5894 0.6252 0.4140 Te
0.5894 0.9642 0.6754 Te
0.3246 0.7888 0.4140 Te
0.5358 0.2112 0.1252 Te
0.9642 0.5894 0.1754 Te
0.4642 0.7888 0.8748 Te
0.9642 0.3748 0.2888 Te
0.8246 0.9140 0.2888 Te
0.9106 0.0860 0.8748 Te
0.6754 0.4642 0.5894 Te
0.3246 0.5358 0.4106 Te
0.6754 0.2112 0.5860 Te
0.0358 0.6252 0.7112 Te
0.2888 0.8748 0.9642 Te
0.8748 0.2888 0.4642 Te
0.3748 0.9642 0.7888 Te
0.6252 0.0358 0.2112 Te
0.4140 0.2888 0.3246 Te
0.4106 0.0358 0.3246 Te
0.7888 0.3246 0.9140 Te
0.6252 0.5894 0.9140 Te
0.0894 0.9140 0.1252 Te
0.0860 0.1754 0.2112 Te
0.5358 0.3246 0.9106 Te
0.9140 0.0894 0.6252 Te
0.1754 0.0860 0.7112 Te
0.4642 0.6754 0.0894 Te
0.4140 0.1252 0.5894 Te
0.9106 0.8246 0.5358 Te
0.8750 0.1250 0.2500 Ho
0.8750 0.7500 0.1250 Ho
0.7500 0.8750 0.6250 Ho
0.6250 0.3750 0.7500 Ho
0.6250 0.2500 0.3750 Ho
0.2500 0.1250 0.3750 Ho
0.3750 0.7500 0.6250 Ho
0.2500 0.6250 0.8750 Ho
0.1250 0.2500 0.8750 Ho
0.3750 0.6250 0.2500 Ho
0.1250 0.8750 0.7500 Ho
0.7500 0.3750 0.1250 Ho
```

Record 7
Pm3Sm2UN6: relaxed, PBE.

Computed properties:
DFT total energy: -8.59 eV per atom
symmetry: C2/m, No. 12

Cell and atoms, written as POSCAR:
```
Pm3Sm2UN6
1.0
-3.9646 -4.0749 2.3772
5.2456 -1.9553 -2.5757
2.2501 2.4101 5.2157
N Sm Pm U
6 2 3 1
Direct
0.2277 0.2277 0.7686 N
0.0768 0.3807 0.2300 N
0.3807 0.0768 0.2300 N
0.7723 0.7723 0.2314 N
0.9232 0.6193 0.7700 N
0.6193 0.9232 0.7700 N
0.6663 0.3337 0.0000 Sm
0.3337 0.6663 0.0000 Sm
0.5000 0.5000 0.5000 Pm
0.1669 0.8331 0.5000 Pm
0.8331 0.1669 0.5000 Pm
0.0000 0.0000 0.0000 U
```

Record 8
Zr2ScTa: relaxed, PBE.

Computed properties:
symmetry: P4mm, No. 99
formation enthalpy at 0 K: 0.1617 eV/atom

Cell and atoms, written as POSCAR:
```
Zr2ScTa
1.0
-0.9874 1.3064 -3.2816
-0.2121 -3.4232 -1.2989
-6.2711 -0.2845 1.7736
Zr Ta Sc
2 1 1
Direct
0.5000 0.5000 0.2350 Zr
0.0000 0.0000 0.9759 Zr
0.5000 0.5000 0.7667 Ta
0.0000 0.0000 0.5225 Sc
```

Record 9
Li3As3Pb: relaxed, PBE.

Computed properties:
symmetry: Pm-3n, No. 223
formation enthalpy at 0 K: 0.1699 eV/atom

Cell and atoms, written as POSCAR:
```
Li3As3Pb
1.0
6.8162 0.0000 0.0000
0.0000 6.8162 0.0000
0.0000 0.0000 6.8162
As Pb Li
6 2 6
Direct
0.5000 0.2500 0.0000 As
0.0000 0.5000 0.2500 As
0.2500 0.0000 0.5000 As
0.0000 0.5000 0.7500 As
0.7500 0.0000 0.5000 As
0.5000 0.7500 0.0000 As
0.5000 0.5000 0.5000 Pb
0.0000 0.0000 0.0000 Pb
0.0000 0.2500 0.5000 Li
0.2500 0.5000 0.0000 Li
0.5000 0.0000 0.2500 Li
0.7500 0.5000 0.0000 Li
0.5000 0.0000 0.7500 Li
0.0000 0.7500 0.5000 Li
```

Record 10
CeBe2F8: relaxed, PBE.

Computed properties:
energy above the most stable polymorph in this dataset: 0.00 kcal/mol of atoms
symmetry: P-1, No. 2

Cell and atoms, written as POSCAR:
```
CeBe2F8
1.0
5.2417 0.3146 0.5578
-0.2449 5.4615 -1.4716
1.0834 0.5309 5.1403
F Be Ce
8 2 1
Direct
0.6305 0.2291 0.2727 F
0.2706 0.9240 0.2496 F
0.3695 0.7709 0.7273 F
0.7816 0.7753 0.3167 F
0.7294 0.0760 0.7504 F
0.8429 0.6787 0.7701 F
0.1571 0.3213 0.2299 F
0.2184 0.2247 0.6833 F
0.6752 0.8100 0.6316 Be
0.3248 0.1900 0.3684 Be
0.0000 0.0000 0.0000 Ce
```

Record 11
HfTi4Al5: relaxed, PBE.

Computed properties:
energy above the most stable polymorph in this dataset: 5.09 kcal/mol of atoms
symmetry: Pmmn, No. 59
formation enthalpy at 0 K: -0.0431 eV/atom

Cell and atoms, written as POSCAR:
```
HfTi4Al5
1.0
6.7963 0.0000 0.0000
0.0000 9.5587 0.0000
0.0000 0.0000 5.6072
Hf Ti Al
2 8 10
Direct
0.4300 0.0000 0.0000 Hf
0.5700 0.5000 0.5000 Hf
0.4831 0.3263 0.0000 Ti
0.5169 0.1737 0.5000 Ti
0.8255 0.0000 0.7426 Ti
0.1745 0.5000 0.7574 Ti
0.5169 0.8263 0.5000 Ti
0.8255 0.0000 0.2574 Ti
0.1745 0.5000 0.2426 Ti
0.4831 0.6737 0.0000 Ti
0.8012 0.5000 0.0000 Al
0.1785 0.2130 0.2334 Al
0.1785 0.7870 0.2334 Al
0.1988 0.0000 0.5000 Al
0.8215 0.7130 0.2666 Al
0.8215 0.2870 0.2666 Al
0.8215 0.7130 0.7334 Al
0.1785 0.2130 0.7666 Al
0.1785 0.7870 0.7666 Al
0.8215 0.2870 0.7334 Al
```

Record 12
Cs2HfMnSb: relaxed, PBE.

Computed properties:
DFT total energy: -3.99 eV per atom
symmetry: P4/mmm, No. 123

Cell and atoms, written as POSCAR:
```
Cs2HfMnSb
1.0
-0.1044 5.9931 4.5749
-6.8685 1.8116 -2.5298
-2.2554 -3.0478 3.9411
Cs Sb Mn Hf
2 1 1 1
Direct
0.0000 0.5000 0.0000 Cs
0.5000 0.0000 0.0000 Cs
0.0000 0.0000 0.5000 Sb
0.5000 0.5000 0.5000 Mn
0.0000 0.0000 0.0000 Hf
```

Repeat the ninth record exactly.
Li3As3Pb: relaxed, PBE.

Computed properties:
symmetry: Pm-3n, No. 223
formation enthalpy at 0 K: 0.1699 eV/atom

Cell and atoms, written as POSCAR:
```
Li3As3Pb
1.0
6.8162 0.0000 0.0000
0.0000 6.8162 0.0000
0.0000 0.0000 6.8162
As Pb Li
6 2 6
Direct
0.5000 0.2500 0.0000 As
0.0000 0.5000 0.2500 As
0.2500 0.0000 0.5000 As
0.0000 0.5000 0.7500 As
0.7500 0.0000 0.5000 As
0.5000 0.7500 0.0000 As
0.5000 0.5000 0.5000 Pb
0.0000 0.0000 0.0000 Pb
0.0000 0.2500 0.5000 Li
0.2500 0.5000 0.0000 Li
0.5000 0.0000 0.2500 Li
0.7500 0.5000 0.0000 Li
0.5000 0.0000 0.7500 Li
0.0000 0.7500 0.5000 Li
```

Copy entry 2 word for word.
Cs2ZnBi2Pb: relaxed, PBE.

Computed properties:
symmetry: Ibam, No. 72
formation enthalpy at 0 K: -0.2637 eV/atom

Cell and atoms, written as POSCAR:
```
Cs2ZnBi2Pb
1.0
7.5779 0.0000 0.0000
0.0000 7.6402 0.0000
-3.7889 -3.8201 8.7687
Zn Bi Cs Pb
2 4 4 2
Direct
0.5000 0.2500 0.0000 Zn
0.5000 0.7500 0.0000 Zn
0.8066 0.0887 0.1773 Bi
0.1934 0.9113 0.8227 Bi
0.6293 0.4113 0.8227 Bi
0.3707 0.5887 0.1773 Bi
0.9227 0.6673 0.3345 Cs
0.0773 0.3327 0.6655 Cs
0.5881 0.8327 0.6655 Cs
0.4119 0.1673 0.3345 Cs
0.0000 0.2500 0.0000 Pb
0.0000 0.7500 0.0000 Pb
```